Density functional theory data (GGA-PBEsol) for Mg3TcH7 after structural relaxation. Values from VASP.

M_tot = 0.0 μB/cell
Mass density = 2.9 g/cm³
Total energy = -85.83 eV for the cell shown

```
&SYSTEM
  ibrav = 0, nat = 22, ntyp = 3
/
ATOMIC_SPECIES
Tc 98.00 Tc.upf
H 1.01 H.upf
Mg 24.30 Mg.upf
ATOMIC_POSITIONS crystal
Tc 0.000 0.000 0.000
H 0.170 0.340 0.902
H 0.660 0.830 0.902
H 0.340 0.170 0.402
Mg 0.667 0.333 0.932
H 0.333 0.667 0.250
H 0.830 0.660 0.098
Mg 0.667 0.333 0.568
H 0.660 0.830 0.598
Mg 0.000 0.000 0.250
H 0.170 0.830 0.598
H 0.170 0.830 0.902
Mg 0.333 0.667 0.432
H 0.170 0.340 0.598
H 0.830 0.170 0.402
Mg 0.333 0.667 0.068
Tc 0.000 0.000 0.500
H 0.830 0.660 0.402
H 0.340 0.170 0.098
Mg 0.000 0.000 0.750
H 0.667 0.333 0.750
H 0.830 0.170 0.098
CELL_PARAMETERS angstrom
4.767 0.000 0.000
-2.383 4.128 0.000
0.000 0.000 10.518
```

Density functional theory data (GGA-PBEsol) for MgTi2H2 after structural relaxation. Values from VASP.

M_tot = 0.0 μB/cell
Mass density = 3.5 g/cm³
Total energy = -26.12 eV for the cell shown

```
&SYSTEM
  ibrav = 0, nat = 5, ntyp = 3
/
ATOMIC_SPECIES
Ti 47.87 Ti.upf
Mg 24.30 Mg.upf
H 1.01 H.upf
ATOMIC_POSITIONS crystal
Ti 0.674 0.674 0.349
Mg 0.000 0.000 0.000
H 0.750 0.250 0.500
Ti 0.326 0.326 0.651
H 0.250 0.750 0.500
CELL_PARAMETERS angstrom
-2.503 -2.439 0.115
1.943 -2.089 -2.021
2.296 0.378 4.842
```

Density functional theory data (GGA-PBEsol) for MgTi3H8 after structural relaxation. Values from VASP.

M_tot = 0.0 μB/cell
Mass density = 3.4 g/cm³
Total energy = -58.46 eV for the cell shown

```
&SYSTEM
  ibrav = 0, nat = 12, ntyp = 3
/
ATOMIC_SPECIES
H 1.01 H.upf
Ti 47.87 Ti.upf
Mg 24.30 Mg.upf
ATOMIC_POSITIONS crystal
H 0.742 0.258 0.742
H 0.742 0.742 0.258
Ti 0.500 0.500 0.000
H 0.258 0.742 0.258
H 0.258 0.258 0.742
H 0.258 0.742 0.742
Mg 0.000 0.000 0.000
H 0.742 0.258 0.258
H 0.742 0.742 0.742
Ti 0.000 0.500 0.500
H 0.258 0.258 0.258
Ti 0.500 0.000 0.500
CELL_PARAMETERS angstrom
-1.359 4.196 0.305
0.119 -0.282 4.411
4.206 1.364 -0.027
```

Density functional theory data (GGA-PBEsol) for Mg2TlHW after structural relaxation. Values from VASP.

M_tot = 0.0 μB/cell
Mass density = 9.4 g/cm³
Total energy = -20.38 eV for the cell shown

```
&SYSTEM
  ibrav = 0, nat = 5, ntyp = 4
/
ATOMIC_SPECIES
Tl 204.38 Tl.upf
Mg 24.30 Mg.upf
W 183.84 W.upf
H 1.01 H.upf
ATOMIC_POSITIONS crystal
Tl 0.000 0.000 0.500
Mg 0.000 0.500 0.000
W 0.500 0.500 0.500
Mg 0.500 0.000 0.000
H 0.000 0.000 0.000
CELL_PARAMETERS angstrom
-2.597 0.484 -3.111
1.137 -3.617 -1.512
-3.346 -2.083 2.468
```

Density functional theory data (GGA-PBEsol) for Mg7VH16 after structural relaxation. Values from VASP.

M_tot = 0.7 μB/cell
Mass density = 2.0 g/cm³
Total energy = -77.49 eV for the cell shown

```
&SYSTEM
  ibrav = 0, nat = 24, ntyp = 3
/
ATOMIC_SPECIES
H 1.01 H.upf
Mg 24.30 Mg.upf
V 50.94 V.upf
ATOMIC_POSITIONS crystal
H 0.628 0.628 0.115
H 0.115 0.628 0.628
H 0.885 0.885 0.885
Mg 0.000 0.500 0.000
H 0.885 0.372 0.372
H 0.372 0.372 0.372
H 0.372 0.885 0.372
Mg 0.000 0.000 0.500
H 0.628 0.115 0.628
H 0.885 0.344 0.885
H 0.885 0.885 0.344
H 0.344 0.885 0.885
V 0.000 0.000 0.000
Mg 0.500 0.000 0.000
H 0.115 0.115 0.115
H 0.656 0.115 0.115
H 0.628 0.628 0.628
H 0.115 0.656 0.115
Mg 0.500 0.500 0.000
Mg 0.500 0.000 0.500
H 0.115 0.115 0.656
Mg 0.000 0.500 0.500
Mg 0.500 0.500 0.500
H 0.372 0.372 0.885
CELL_PARAMETERS angstrom
-2.694 5.894 0.633
-2.867 2.836 -5.113
-6.477 0.653 -0.153
```

Density functional theory data (GGA-PBEsol) for MgH2W2 after structural relaxation. Values from VASP.

M_tot = 0.0 μB/cell
Mass density = 12.1 g/cm³
Total energy = -34.37 eV for the cell shown

```
&SYSTEM
  ibrav = 0, nat = 5, ntyp = 3
/
ATOMIC_SPECIES
Mg 24.30 Mg.upf
H 1.01 H.upf
W 183.84 W.upf
ATOMIC_POSITIONS crystal
Mg 0.000 0.000 0.000
H 0.750 0.250 0.500
W 0.668 0.668 0.337
W 0.332 0.332 0.663
H 0.250 0.750 0.500
CELL_PARAMETERS angstrom
-0.301 -1.955 -2.775
0.085 -2.789 1.956
-4.531 2.513 0.813
```

Density functional theory data (GGA-PBEsol) for Y2MgH2 after structural relaxation. Values from VASP.

M_tot = 0.0 μB/cell
Mass density = 3.9 g/cm³
Total energy = -24.42 eV for the cell shown

```
&SYSTEM
  ibrav = 0, nat = 5, ntyp = 3
/
ATOMIC_SPECIES
H 1.01 H.upf
Mg 24.30 Mg.upf
Y 88.91 Y.upf
ATOMIC_POSITIONS crystal
H 0.250 0.750 0.500
Mg 0.000 0.000 0.000
H 0.750 0.250 0.500
Y 0.656 0.656 0.312
Y 0.344 0.344 0.688
CELL_PARAMETERS angstrom
3.796 0.000 0.000
0.000 3.796 0.000
-1.898 -1.898 6.068
```

Density functional theory data (GGA-PBEsol) for YMg3H after structural relaxation. Values from VASP.

M_tot = 0.0 μB/cell
Mass density = 2.7 g/cm³
Total energy = -15.03 eV for the cell shown

```
&SYSTEM
  ibrav = 0, nat = 5, ntyp = 3
/
ATOMIC_SPECIES
Mg 24.30 Mg.upf
Y 88.91 Y.upf
H 1.01 H.upf
ATOMIC_POSITIONS crystal
Mg 0.000 0.000 0.500
Mg 0.000 0.500 0.000
Y 0.500 0.500 0.500
Mg 0.500 0.000 0.000
H 0.000 0.000 0.000
CELL_PARAMETERS angstrom
4.631 0.000 0.000
0.000 4.631 0.000
0.000 0.000 4.631
```

Q: What is the formula in the third record?
A: MgTi3H8